Computed, not measured: TlMo2Br at its PBEsol-relaxed geometry at the meta-GGA SCAN level of DFT.

The crystal system is cubic. The uncorrected formation energy is 1.232 eV/atom. For the volume, the calculation gives 17.28 Å³/atom.

a b c (Å): 6.5146 6.5146 6.5146
angles (deg): 90.00 90.00 90.00
Closest atoms and distances in Å follow each position.
Space group Fm-3m (No. 225)
Inequivalent atoms, fractional coordinates:
Tl 0.0000 0.0000 0.0000 x4  8 Mo 2.82
Mo 0.2500 0.2500 0.2500 x8  4 Tl 2.82, 4 Br 2.82
Br 0.0000 0.0000 0.5000 x4  8 Mo 2.82